w:
# NbTe3As PBE optimized geometry
# Density = 5.777 g/cm³
# Crystal system = monoclinic
data_NbTe3As
_cell_length_a 18.643
_cell_length_b 4.709
_cell_length_c 7.976
_cell_angle_alpha 90.00
_cell_angle_beta 115.29
_cell_angle_gamma 90.00
_space_group_name_H-M_alt 'C 1 2/m 1'
_space_group_IT_number 12
loop_
_space_group_symop_operation_xyz
'x,y,z'
'-x,-y,-z'
'-x,y,-z'
'x,-y,z'
'x+1/2,y+1/2,z'
'-x+1/2,-y+1/2,-z'
'-x+1/2,y+1/2,-z'
'x+1/2,-y+1/2,z'
loop_
_atom_site_label
_atom_site_type_symbol
_atom_site_fract_x
_atom_site_fract_y
_atom_site_fract_z
_atom_site_occupancy
Nb1 Nb 0.244 0.000 0.245 1
Te1 Te 0.095 0.000 0.950 1
Te2 Te 0.103 0.500 0.724 1
Te3 Te 0.165 0.500 0.361 1
As1 As 0.243 0.000 0.874 1

x:
# NbTe3As PBE optimized geometry
# Density = 6.203 g/cm³
# Crystal system = cubic
data_NbTe3As
_cell_length_a 5.283
_cell_length_b 5.283
_cell_length_c 5.283
_cell_angle_alpha 90.00
_cell_angle_beta 90.00
_cell_angle_gamma 90.00
_space_group_name_H-M_alt 'P m -3 m'
_space_group_IT_number 221
_space_group_name_Hall '-P 4 2 3'
loop_
_atom_site_label
_atom_site_type_symbol
_atom_site_fract_x
_atom_site_fract_y
_atom_site_fract_z
_atom_site_occupancy
Nb1 Nb 0.000 0.000 0.000 1
Te1 Te 0.000 0.500 0.500 1
As1 As 0.500 0.500 0.500 1

Relative energies, kJ/mol of atoms: w 0.0; x 110.8.

w:
# TiNbAs2 PBE optimized geometry
# Density = 6.891 g/cm³
# Crystal system = orthorhombic
data_TiNbAs2
_cell_length_a 6.133
_cell_length_b 3.460
_cell_length_c 13.199
_cell_angle_alpha 90.00
_cell_angle_beta 90.00
_cell_angle_gamma 90.00
_space_group_name_H-M_alt 'P n m a'
_space_group_IT_number 62
loop_
_space_group_symop_operation_xyz
'x,y,z'
'-x,-y,-z'
'-x+1/2,-y,z+1/2'
'x+1/2,y,-z+1/2'
'x+1/2,-y+1/2,-z+1/2'
'-x+1/2,y+1/2,z+1/2'
'-x,y+1/2,-z'
'x,-y+1/2,z'
loop_
_atom_site_label
_atom_site_type_symbol
_atom_site_fract_x
_atom_site_fract_y
_atom_site_fract_z
_atom_site_occupancy
Ti1 Ti 0.009 0.250 0.092 1
Nb1 Nb 0.014 0.750 0.664 1
As1 As 0.183 0.250 0.796 1
As2 As 0.192 0.250 0.531 1

x:
# TiNbAs2 PBE optimized geometry
# Density = 6.847 g/cm³
# Crystal system = trigonal
data_TiNbAs2
_cell_length_a 3.4583
_cell_length_b 3.4583
_cell_length_c 6.8053
_cell_angle_alpha 90.00
_cell_angle_beta 90.00
_cell_angle_gamma 120.00
_space_group_name_H-M_alt 'P -3 m 1'
_space_group_IT_number 164
_space_group_name_Hall '-P 3 2"'
loop_
_atom_site_label
_atom_site_type_symbol
_atom_site_fract_x
_atom_site_fract_y
_atom_site_fract_z
_atom_site_occupancy
Ti1 Ti 0.0000 0.0000 0.0000 1
Nb1 Nb 0.0000 0.0000 0.5000 1
As1 As 0.3333 0.6667 0.2442 1

Relative energies, kJ/mol of atoms: w 6.7; x 0.0.

w:
# TiNbAs2 PBE optimized geometry
# Density = 7.321 g/cm³
# Crystal system = cubic
data_TiNbAs2
_cell_length_a 6.412
_cell_length_b 6.412
_cell_length_c 6.412
_cell_angle_alpha 90.00
_cell_angle_beta 90.00
_cell_angle_gamma 90.00
_space_group_name_H-M_alt 'F m -3 m'
_space_group_IT_number 225
_space_group_name_Hall '-F 4 2 3'
loop_
_atom_site_label
_atom_site_type_symbol
_atom_site_fract_x
_atom_site_fract_y
_atom_site_fract_z
_atom_site_occupancy
Ti1 Ti 0.000 0.000 0.000 1
Nb1 Nb 0.000 0.000 0.500 1
As1 As 0.250 0.250 0.250 1

x:
# TiNbAs2 PBE optimized geometry
# Density = 4.968 g/cm³
# Crystal system = tetragonal
data_TiNbAs2
_cell_length_a 5.797
_cell_length_b 5.797
_cell_length_c 11.560
_cell_angle_alpha 90.00
_cell_angle_beta 90.00
_cell_angle_gamma 90.00
_space_group_name_H-M_alt 'I -4 2 d'
_space_group_IT_number 122
_space_group_name_Hall 'I -4 2bw'
loop_
_atom_site_label
_atom_site_type_symbol
_atom_site_fract_x
_atom_site_fract_y
_atom_site_fract_z
_atom_site_occupancy
Ti1 Ti 0.000 0.000 0.000 1
Nb1 Nb 0.000 0.000 0.500 1
As1 As 0.246 0.250 0.125 1

Relative energies, kJ/mol of atoms: w 0.0; x 51.7.